Model i:
Compound: Sn2TePt2
Source: Alexandria
Functional: PBE
Structure: optimized geometry

Summary:
Theoretical density: 10.74 g/cm³
Space-group type: No. 139
M_tot: 0.00 μB/atom

Lattice parameters (Å, degrees): 3.9266 3.9266 8.0629 75.91 75.91 90.00
With the nearest neighbours (Å) after each atom.
Fractional coordinates of all 5 atoms:
Sn1 0.3797 0.3797 0.2406  4 Pt 2.78
Sn2 0.6203 0.6203 0.7594  4 Pt 2.78
Pt1 0.7500 0.2500 0.5000  4 Pt 2.78, 4 Sn 2.78
Pt2 0.2500 0.7500 0.5000  4 Pt 2.78, 4 Sn 2.78
Te1 0.0000 0.0000 0.0000  8 Sn 3.32

Model ii:
Compound: Sn2TePt2
Source: Alexandria
Functional: PBE
Structure: optimized geometry

Summary:
Theoretical density: 10.93 g/cm³
Space-group type: No. 139
M_tot: 0.00 μB/atom

Lattice parameters (Å, degrees): 4.3895 4.3895 6.7140 70.92 70.92 90.00
With the nearest neighbours (Å) after each atom.
Fractional coordinates of all 5 atoms:
Sn1 0.2500 0.7500 0.5000  4 Pt 2.73
Te1 0.0000 0.0000 0.0000  8 Pt 3.39, 8 Sn 3.70
Sn2 0.7500 0.2500 0.5000  4 Pt 2.73
Pt1 0.6142 0.6142 0.7715  1 Pt 2.72, 4 Sn 2.73
Pt2 0.3858 0.3858 0.2285  1 Pt 2.72, 4 Sn 2.73

Model iii:
Compound: Sn2TePt2
Source: Alexandria
Functional: PBE
Structure: optimized geometry

Summary:
Theoretical density: 11.67 g/cm³
Space-group type: No. 127
M_tot: 0.00 μB/atom

Lattice parameters (Å, degrees): 7.6930 7.6930 3.6307 90.00 90.00 90.00
With the nearest neighbours (Å) after each atom.
Fractional coordinates of all 10 atoms:
Sn1 0.8423 0.3423 0.5000  6 Pt 2.90
Sn2 0.3423 0.1577 0.5000  6 Pt 2.90
Pt1 0.6348 0.1348 0.0000  6 Sn 2.90, 1 Pt 2.93, 2 Te 2.99
Sn3 0.6577 0.8423 0.5000  6 Pt 2.90
Pt2 0.8652 0.6348 0.0000  6 Sn 2.90, 1 Pt 2.93, 2 Te 2.99
Te1 0.5000 0.5000 0.0000  4 Pt 2.99
Te2 0.0000 0.0000 0.0000  4 Pt 2.99
Pt3 0.1348 0.3652 0.0000  6 Sn 2.90, 1 Pt 2.93, 2 Te 2.99
Pt4 0.3652 0.8652 0.0000  6 Sn 2.90, 1 Pt 2.93, 2 Te 2.99
Sn4 0.1577 0.6577 0.5000  6 Pt 2.90

In terms of stability, model iii leads; the second structure lies 3.5 kJ/mol of atoms higher.